1.
Computed, not measured: an optimized crystal structure of LiHg4Bi2 at the GGA-PBE level of DFT.

## Properties
Total DFT energy (no corrections) in eV/atom: -1.570
DOS(E_F) in states/eV/cell: 2.3

```
data_LiHg4Bi2
_cell_length_a 4.906
_cell_length_b 7.297
_cell_length_c 7.335
_cell_angle_alpha 90.57
_cell_angle_beta 109.06
_cell_angle_gamma 108.55
_space_group_name_H-M_alt 'P -1'
_space_group_IT_number 2
loop_
_space_group_symop_operation_xyz
'x,y,z'
'-x,-y,-z'
loop_
_atom_site_label
_atom_site_fract_x
_atom_site_fract_y
_atom_site_fract_z
_atom_site_occupancy
Li1 0.000 0.000 0.000 1
Hg1 0.250 0.106 0.400 1
Hg2 0.264 0.404 0.135 1
Bi1 0.496 0.159 0.839 1
```

***

2.
Computed, not measured: an optimized crystal structure of Li2Hg6Bi at the GGA-PBE level of DFT.

## Properties
Total DFT energy (no corrections) in eV/atom: -1.169
DOS(E_F) in states/eV/cell: 4.4

```
data_Li2Hg6Bi
_cell_length_a 12.704
_cell_length_b 5.973
_cell_length_c 6.017
_cell_angle_alpha 90.00
_cell_angle_beta 100.46
_cell_angle_gamma 90.00
_space_group_name_H-M_alt 'C 1 2/m 1'
_space_group_IT_number 12
loop_
_space_group_symop_operation_xyz
'x,y,z'
'-x,-y,-z'
'-x,y,-z'
'x,-y,z'
'x+1/2,y+1/2,z'
'-x+1/2,-y+1/2,-z'
'-x+1/2,y+1/2,-z'
'x+1/2,-y+1/2,z'
loop_
_atom_site_label
_atom_site_fract_x
_atom_site_fract_y
_atom_site_fract_z
_atom_site_occupancy
Li1 0.096 0.000 0.386 1
Hg1 0.000 0.250 0.000 1
Hg2 0.229 0.248 0.747 1
Bi1 0.000 0.500 0.500 1
```

***

3.
Computed, not measured: an optimized crystal structure of LiHg2Bi at the GGA-PBE level of DFT.

## Properties
Total DFT energy (no corrections) in eV/atom: -1.772
DOS(E_F) in states/eV/cell: 1.4

```
data_LiHg2Bi
_cell_length_a 3.294
_cell_length_b 3.294
_cell_length_c 8.936
_cell_angle_alpha 90.00
_cell_angle_beta 90.00
_cell_angle_gamma 90.00
_space_group_name_H-M_alt 'P 4/m m m'
_space_group_IT_number 123
_space_group_name_Hall '-P 4 2'
loop_
_atom_site_label
_atom_site_fract_x
_atom_site_fract_y
_atom_site_fract_z
_atom_site_occupancy
Li1 0.000 0.000 0.000 1
Hg1 0.500 0.500 0.202 1
Bi1 0.000 0.000 0.500 1
```

***

4.
Computed, not measured: an optimized crystal structure of Li4HgBi3 at the GGA-PBE level of DFT.

## Properties
Total DFT energy (no corrections) in eV/atom: -2.829
DOS(E_F) in states/eV/cell: 2.6

```
data_Li4HgBi3
_cell_length_a 3.418
_cell_length_b 3.418
_cell_length_c 15.400
_cell_angle_alpha 90.00
_cell_angle_beta 90.00
_cell_angle_gamma 90.00
_space_group_name_H-M_alt 'P 4/m m m'
_space_group_IT_number 123
_space_group_name_Hall '-P 4 2'
loop_
_atom_site_label
_atom_site_fract_x
_atom_site_fract_y
_atom_site_fract_z
_atom_site_occupancy
Li1 0.000 0.000 0.104 1
Li2 0.000 0.000 0.367 1
Hg1 0.500 0.500 0.000 1
Bi1 0.500 0.500 0.232 1
Bi2 0.500 0.500 0.500 1
```

***

5.
Computed, not measured: an optimized crystal structure of LiHg14Bi at the GGA-PBE level of DFT.

## Properties
Total DFT energy (no corrections) in eV/atom: -0.634
DOS(E_F) in states/eV/cell: 10.9

```
data_LiHg14Bi
_cell_length_a 7.526
_cell_length_b 6.368
_cell_length_c 18.106
_cell_angle_alpha 90.00
_cell_angle_beta 90.00
_cell_angle_gamma 90.00
_space_group_name_H-M_alt 'A m m 2'
_space_group_IT_number 38
loop_
_space_group_symop_operation_xyz
'x,y,z'
'-x,-y,z'
'-x,y,z'
'x,-y,z'
'x,y+1/2,z+1/2'
'-x,-y+1/2,z+1/2'
'-x,y+1/2,z+1/2'
'x,-y+1/2,z+1/2'
loop_
_atom_site_label
_atom_site_fract_x
_atom_site_fract_y
_atom_site_fract_z
_atom_site_occupancy
Li1 0.000 0.000 0.000 1
Hg1 0.000 0.249 0.736 1
Hg2 0.219 0.000 0.865 1
Hg3 0.244 0.242 0.100 1
Hg4 0.265 0.000 0.346 1
Hg5 0.500 0.000 0.489 1
Hg6 0.500 0.000 0.984 1
Hg7 0.500 0.238 0.735 1
Bi1 0.000 0.000 0.480 1
```

***

6.
Computed, not measured: an optimized crystal structure of Li12Hg2Bi5 at the GGA-PBE level of DFT.

## Properties
Total DFT energy (no corrections) in eV/atom: -2.587
DOS(E_F) in states/eV/cell: 12.0

```
data_Li12Hg2Bi5
_cell_length_a 15.173
_cell_length_b 6.017
_cell_length_c 9.789
_cell_angle_alpha 90.00
_cell_angle_beta 95.80
_cell_angle_gamma 90.00
_space_group_name_H-M_alt 'C 1 2/m 1'
_space_group_IT_number 12
loop_
_space_group_symop_operation_xyz
'x,y,z'
'-x,-y,-z'
'-x,y,-z'
'x,-y,z'
'x+1/2,y+1/2,z'
'-x+1/2,-y+1/2,-z'
'-x+1/2,y+1/2,-z'
'x+1/2,-y+1/2,z'
loop_
_atom_site_label
_atom_site_fract_x
_atom_site_fract_y
_atom_site_fract_z
_atom_site_occupancy
Li1 0.012 0.000 0.342 1
Li2 0.103 0.500 0.788 1
Li3 0.159 0.250 0.554 1
Li4 0.183 0.248 0.089 1
Hg1 0.000 0.253 0.000 1
Bi1 0.000 0.500 0.500 1
Bi2 0.154 0.000 0.831 1
Bi3 0.196 0.000 0.323 1
```

***

7.
Computed, not measured: an optimized crystal structure of Li2Hg2Bi3 at the GGA-PBE level of DFT.

## Properties
Total DFT energy (no corrections) in eV/atom: -2.481
DOS(E_F) in states/eV/cell: 3.1

```
data_Li2Hg2Bi3
_cell_length_a 8.571
_cell_length_b 5.010
_cell_length_c 8.984
_cell_angle_alpha 90.00
_cell_angle_beta 108.50
_cell_angle_gamma 90.00
_space_group_name_H-M_alt 'C 1 2/m 1'
_space_group_IT_number 12
loop_
_space_group_symop_operation_xyz
'x,y,z'
'-x,-y,-z'
'-x,y,-z'
'x,-y,z'
'x+1/2,y+1/2,z'
'-x+1/2,-y+1/2,-z'
'-x+1/2,y+1/2,-z'
'x+1/2,-y+1/2,z'
loop_
_atom_site_label
_atom_site_fract_x
_atom_site_fract_y
_atom_site_fract_z
_atom_site_occupancy
Li1 0.222 0.000 0.159 1
Hg1 0.095 0.000 0.791 1
Bi1 0.000 0.500 0.000 1
Bi2 0.136 0.500 0.406 1
```

***

8.
Computed, not measured: an optimized crystal structure of LiHg2Bi at the GGA-PBE level of DFT.

## Properties
Total DFT energy (no corrections) in eV/atom: -1.691
DOS(E_F) in states/eV/cell: 2.8

```
data_LiHg2Bi
_cell_length_a 3.557
_cell_length_b 13.781
_cell_length_c 4.641
_cell_angle_alpha 90.00
_cell_angle_beta 90.00
_cell_angle_gamma 90.00
_space_group_name_H-M_alt 'P m m n'
_space_group_IT_number 59
loop_
_space_group_symop_operation_xyz
'x,y,z'
'-x,-y,-z'
'-x+1/2,-y+1/2,z'
'x+1/2,y+1/2,-z'
'x+1/2,-y,-z'
'-x+1/2,y,z'
'-x,y+1/2,-z'
'x,-y+1/2,z'
loop_
_atom_site_label
_atom_site_fract_x
_atom_site_fract_y
_atom_site_fract_z
_atom_site_occupancy
Li1 0.250 0.250 0.007 1
Hg1 0.250 0.586 0.991 1
Bi1 0.250 0.750 0.493 1
```

***

9.
Computed, not measured: an optimized crystal structure of Li3Hg3Bi at the GGA-PBE level of DFT.

## Properties
Total DFT energy (no corrections) in eV/atom: -1.750
DOS(E_F) in states/eV/cell: 3.3

```
data_Li3Hg3Bi
_cell_length_a 8.4445
_cell_length_b 8.4445
_cell_length_c 5.1643
_cell_angle_alpha 90.00
_cell_angle_beta 90.00
_cell_angle_gamma 120.00
_space_group_name_H-M_alt 'P 63/m'
_space_group_IT_number 176
_space_group_name_Hall '-P 6c'
loop_
_atom_site_label
_atom_site_fract_x
_atom_site_fract_y
_atom_site_fract_z
_atom_site_occupancy
Li1 0.0593 0.7971 0.2500 1
Hg1 0.0993 0.6851 0.7500 1
Bi1 0.3333 0.6667 0.2500 1
```

***

10.
Computed, not measured: an optimized crystal structure of Li2Hg6Bi3 at the GGA-PBE level of DFT.

## Properties
Total DFT energy (no corrections) in eV/atom: -1.653
DOS(E_F) in states/eV/cell: 15.7

```
data_Li2Hg6Bi3
_cell_length_a 9.107
_cell_length_b 6.378
_cell_length_c 20.289
_cell_angle_alpha 90.00
_cell_angle_beta 99.50
_cell_angle_gamma 90.00
_space_group_name_H-M_alt 'C 1 2/c 1'
_space_group_IT_number 15
loop_
_space_group_symop_operation_xyz
'x,y,z'
'-x,-y,-z'
'-x,y,-z+1/2'
'x,-y,z+1/2'
'x+1/2,y+1/2,z'
'-x+1/2,-y+1/2,-z'
'-x+1/2,y+1/2,-z+1/2'
'x+1/2,-y+1/2,z+1/2'
loop_
_atom_site_label
_atom_site_fract_x
_atom_site_fract_y
_atom_site_fract_z
_atom_site_occupancy
Li1 0.231 0.012 0.006 1
Hg1 0.023 0.277 0.549 1
Hg2 0.106 0.253 0.396 1
Hg3 0.245 0.304 0.123 1
Bi1 0.000 0.465 0.250 1
Bi2 0.125 0.093 0.704 1
```

***

Number 1: total magnetic moment 0.0 μB/cell, E_form -0.02 eV/atom. Number 2: total magnetic moment 0.0 μB/cell, E_form -0.11 eV/atom. Number 3: total magnetic moment 0.0 μB/cell, E_form -0.17 eV/atom. Number 4: total magnetic moment 0.0 μB/cell, E_form -0.38 eV/atom. Number 5: total magnetic moment 0.0 μB/cell, E_form -0.01 eV/atom. Number 6: total magnetic moment 0.0 μB/cell, E_form -0.32 eV/atom. Number 7: total magnetic moment 0.0 μB/cell, E_form -0.18 eV/atom. Number 8: total magnetic moment 0.0 μB/cell, E_form -0.09 eV/atom. Number 9: total magnetic moment 0.0 μB/cell, E_form -0.25 eV/atom. Number 10: total magnetic moment 0.0 μB/cell, E_form -0.08 eV/atom.